The following is a DFT calculation (PBEsol) of LaTa2IrPd after structural relaxation.

Cell and atoms, written as POSCAR:
```
LaTa2IrPd
1.0
-0.743 -1.873 -4.239
4.550 -1.622 -0.080
-1.433 -4.122 2.073
Ir La Pd Ta
1 1 1 2
direct
0.500 0.500 0.500 Ir
0.000 0.000 0.000 La
0.500 0.000 0.000 Pd
0.000 0.000 0.500 Ta
0.000 0.500 0.000 Ta
```

Summary:
SG: P4/mmm
ΔH_f (0 K), eV per atom: 2.404
Total DFT energy (no corrections), eV per atom: -6.842
Mass density, g cm⁻³: 12.1
V, Å³/cell: 109.57